Density functional theory data (PBE with a Hubbard U) for a relaxed Rb3VCr2F9 crystal. Values from VASP.

```
&SYSTEM
  ibrav = 0, nat = 15, ntyp = 4
/
ATOMIC_SPECIES
Rb 85.47 Rb.upf
V 50.94 V.upf
Cr 52.00 Cr.upf
F 19.00 F.upf
ATOMIC_POSITIONS crystal
Rb 0.333 0.667 0.664
Rb 0.000 0.000 0.000
Rb 0.667 0.333 0.336
V 0.000 0.000 0.500
Cr 0.333 0.667 0.164
Cr 0.667 0.333 0.836
F 0.834 0.166 0.668
F 0.834 0.667 0.668
F 0.333 0.166 0.668
F 0.667 0.834 0.332
F 0.166 0.333 0.332
F 0.166 0.834 0.332
F 0.500 0.000 0.000
F 0.000 0.500 0.000
F 0.500 0.500 0.000
CELL_PARAMETERS angstrom
-2.799 -1.367 -5.175
6.035 0.097 0.235
0.042 -7.153 1.866
```

Energy   -5.46 eV per atom
SG   P-3m1 (164)
M_tot   11.00 μB per formula unit